First-principles (PBE+U) data for a relaxed VCdIrO6 crystal, as listed in the Alexandria database.

```
VCdIrO6
1.0
4.7470 0.0000 0.0000
0.0000 4.7470 0.0000
0.0000 0.0000 9.3405
V Cd Ir O
2 2 2 12
direct
0.0000 0.0000 0.0000
0.5000 0.5000 0.5000
0.0000 0.0000 0.3298
0.5000 0.5000 0.8298
0.0000 0.0000 0.6617
0.5000 0.5000 0.1617
0.1731 0.1731 0.8330
0.2144 0.2144 0.1394
0.2194 0.2194 0.5164
0.2806 0.7194 0.0164
0.2856 0.7144 0.6394
0.3269 0.6731 0.3330
0.6731 0.3269 0.3330
0.7144 0.2856 0.6394
0.7194 0.2806 0.0164
0.7806 0.7806 0.5164
0.7856 0.7856 0.1394
0.8269 0.8269 0.8330
```

## Properties
Mass density ... 7.125 g/cm³
D(E_F) ... 5.8 states/eV/f.u.
SG ... P4_2nm
Energy ... -6.33 eV/atom